[1]
First-principles (PBE) data for a geometry-optimized Ce2SmYBi5 structure, as listed in Alexandria.

Cell and atoms, written as CIF:
```
data_Ce2SmYBi5
_chemical_formula_sum 'Ce2 Sm1 Y1 Bi5'
_cell_length_a 5.545
_cell_length_b 5.545
_cell_length_c 11.884
_cell_angle_alpha 90.00
_cell_angle_beta 90.00
_cell_angle_gamma 90.00
_symmetry_space_group_name_H-M 'P 1'
_symmetry_Int_Tables_number 1
loop_
_symmetry_equiv_pos_as_xyz
'x,y,z'
loop_
_atom_site_label
_atom_site_type_symbol
_atom_site_fract_x
_atom_site_fract_y
_atom_site_fract_z
Ce1 Ce 0.000 0.000 0.217
Ce2 Ce 0.000 0.000 0.783
Sm1 Sm 0.500 0.500 0.000
Y1 Y 0.500 0.500 0.500
Bi1 Bi 0.000 0.000 0.500
Bi2 Bi 0.000 0.500 0.000
Bi3 Bi 0.500 0.000 0.000
Bi4 Bi 0.500 0.500 0.255
Bi5 Bi 0.500 0.500 0.745
```

Computed properties:
**Energy of formation from the pure elements**: -0.45 eV per formula unit
**Space-group type**: No. 123

[2]
First-principles (PBE) data for a geometry-optimized PmMnSb2 structure, as listed in Alexandria.

Cell and atoms, written as CIF:
```
data_PmMnSb2
_chemical_formula_sum 'Pm2 Mn2 Sb4'
_cell_length_a 4.328
_cell_length_b 4.328
_cell_length_c 10.634
_cell_angle_alpha 90.00
_cell_angle_beta 90.00
_cell_angle_gamma 90.00
_symmetry_space_group_name_H-M 'P 1'
_symmetry_Int_Tables_number 1
loop_
_symmetry_equiv_pos_as_xyz
'x,y,z'
loop_
_atom_site_label
_atom_site_type_symbol
_atom_site_fract_x
_atom_site_fract_y
_atom_site_fract_z
Pm1 Pm 0.250 0.250 0.235
Pm2 Pm 0.750 0.750 0.765
Mn1 Mn 0.250 0.750 0.500
Mn2 Mn 0.750 0.250 0.500
Sb1 Sb 0.250 0.250 0.663
Sb2 Sb 0.250 0.750 0.000
Sb3 Sb 0.750 0.250 0.000
Sb4 Sb 0.750 0.750 0.337
```

Computed properties:
**Formation energy (no corrections)**: -0.568 eV/atom
**Space-group type**: No. 129

[3]
First-principles (PBE) data for a geometry-optimized AsOsPt3 structure, as listed in Alexandria.

Cell and atoms, written as CIF:
```
data_AsOsPt3
_chemical_formula_sum 'As1 Os1 Pt3'
_cell_length_a 4.614
_cell_length_b 4.614
_cell_length_c 4.614
_cell_angle_alpha 90.00
_cell_angle_beta 90.00
_cell_angle_gamma 90.00
_symmetry_space_group_name_H-M 'P 1'
_symmetry_Int_Tables_number 1
loop_
_symmetry_equiv_pos_as_xyz
'x,y,z'
loop_
_atom_site_label
_atom_site_type_symbol
_atom_site_fract_x
_atom_site_fract_y
_atom_site_fract_z
As1 As 0.000 0.000 0.000
Os1 Os 0.500 0.500 0.500
Pt1 Pt 0.000 0.000 0.500
Pt2 Pt 0.000 0.500 0.000
Pt3 Pt 0.500 0.000 0.000
```

Computed properties:
**Energy of formation from the pure elements**: 6.17 eV per formula unit
**Space-group type**: No. 221

[4]
First-principles (PBE) data for a geometry-optimized CdSbOs2 structure, as listed in Alexandria.

Cell and atoms, written as CIF:
```
data_CdSbOs2
_chemical_formula_sum 'Cd1 Sb1 Os2'
_cell_length_a 2.911
_cell_length_b 2.938
_cell_length_c 8.968
_cell_angle_alpha 90.00
_cell_angle_beta 90.00
_cell_angle_gamma 90.00
_symmetry_space_group_name_H-M 'P 1'
_symmetry_Int_Tables_number 1
loop_
_symmetry_equiv_pos_as_xyz
'x,y,z'
loop_
_atom_site_label
_atom_site_type_symbol
_atom_site_fract_x
_atom_site_fract_y
_atom_site_fract_z
Cd1 Cd 0.000 0.000 0.000
Sb1 Sb 0.000 0.500 0.675
Os1 Os 0.000 0.000 0.408
Os2 Os 0.500 0.500 0.232
```

Computed properties:
**Formation energy (no corrections)**: 0.334 eV/atom
**Space-group type**: No. 25

[5]
First-principles (PBE) data for a geometry-optimized PmGa3Pd10 structure, as listed in Alexandria.

Cell and atoms, written as CIF:
```
data_PmGa3Pd10
_chemical_formula_sum 'Pm2 Ga6 Pd20'
_cell_length_a 8.825
_cell_length_b 8.825
_cell_length_c 8.825
_cell_angle_alpha 60.00
_cell_angle_beta 60.00
_cell_angle_gamma 60.00
_symmetry_space_group_name_H-M 'P 1'
_symmetry_Int_Tables_number 1
loop_
_symmetry_equiv_pos_as_xyz
'x,y,z'
loop_
_atom_site_label
_atom_site_type_symbol
_atom_site_fract_x
_atom_site_fract_y
_atom_site_fract_z
Pm1 Pm 0.250 0.250 0.250
Pm2 Pm 0.750 0.750 0.750
Ga1 Ga 0.230 0.230 0.770
Ga2 Ga 0.230 0.770 0.230
Ga3 Ga 0.230 0.770 0.770
Ga4 Ga 0.770 0.230 0.230
Ga5 Ga 0.770 0.230 0.770
Ga6 Ga 0.770 0.770 0.230
Pd1 Pd 0.119 0.119 0.119
Pd2 Pd 0.119 0.119 0.643
Pd3 Pd 0.119 0.643 0.119
Pd4 Pd 0.155 0.500 0.500
Pd5 Pd 0.155 0.500 0.845
Pd6 Pd 0.155 0.845 0.500
Pd7 Pd 0.357 0.881 0.881
Pd8 Pd 0.500 0.155 0.500
Pd9 Pd 0.500 0.155 0.845
Pd10 Pd 0.500 0.500 0.155
Pd11 Pd 0.500 0.500 0.845
Pd12 Pd 0.500 0.845 0.155
Pd13 Pd 0.500 0.845 0.500
Pd14 Pd 0.643 0.119 0.119
Pd15 Pd 0.845 0.155 0.500
Pd16 Pd 0.845 0.500 0.155
Pd17 Pd 0.845 0.500 0.500
Pd18 Pd 0.881 0.357 0.881
Pd19 Pd 0.881 0.881 0.357
Pd20 Pd 0.881 0.881 0.881
```

Computed properties:
**Energy of formation from the pure elements**: -7.41 eV per formula unit
**Space-group type**: No. 225

[6]
First-principles (PBE) data for a geometry-optimized KI2NF structure, as listed in Alexandria.

Cell and atoms, written as CIF:
```
data_KI2NF
_chemical_formula_sum 'K1 I2 N1 F1'
_cell_length_a 6.664
_cell_length_b 6.664
_cell_length_c 5.788
_cell_angle_alpha 90.00
_cell_angle_beta 90.00
_cell_angle_gamma 90.00
_symmetry_space_group_name_H-M 'P 1'
_symmetry_Int_Tables_number 1
loop_
_symmetry_equiv_pos_as_xyz
'x,y,z'
loop_
_atom_site_label
_atom_site_type_symbol
_atom_site_fract_x
_atom_site_fract_y
_atom_site_fract_z
K1 K 0.000 0.000 0.000
I1 I 0.000 0.500 0.000
I2 I 0.500 0.000 0.000
N1 N 0.000 0.000 0.500
F1 F 0.500 0.500 0.500
```

Computed properties:
**Formation energy (no corrections)**: 0.811 eV/atom
**Space-group type**: No. 123

[7]
First-principles (PBE) data for a geometry-optimized TmGa2Sn structure, as listed in Alexandria.

Cell and atoms, written as CIF:
```
data_TmGa2Sn
_chemical_formula_sum 'Tm1 Ga2 Sn1'
_cell_length_a 4.442
_cell_length_b 4.442
_cell_length_c 4.299
_cell_angle_alpha 90.00
_cell_angle_beta 90.00
_cell_angle_gamma 90.00
_symmetry_space_group_name_H-M 'P 1'
_symmetry_Int_Tables_number 1
loop_
_symmetry_equiv_pos_as_xyz
'x,y,z'
loop_
_atom_site_label
_atom_site_type_symbol
_atom_site_fract_x
_atom_site_fract_y
_atom_site_fract_z
Tm1 Tm 0.000 0.000 0.000
Ga1 Ga 0.000 0.500 0.500
Ga2 Ga 0.500 0.000 0.500
Sn1 Sn 0.500 0.500 0.000
```

Computed properties:
**Energy of formation from the pure elements**: -1.80 eV per formula unit
**Space-group type**: No. 123

[8]
First-principles (PBE) data for a geometry-optimized LaNiSnPt3 structure, as listed in Alexandria.

Cell and atoms, written as CIF:
```
data_LaNiSnPt3
_chemical_formula_sum 'La2 Ni2 Sn2 Pt6'
_cell_length_a 6.392
_cell_length_b 6.392
_cell_length_c 7.547
_cell_angle_alpha 90.00
_cell_angle_beta 90.00
_cell_angle_gamma 127.19
_symmetry_space_group_name_H-M 'P 1'
_symmetry_Int_Tables_number 1
loop_
_symmetry_equiv_pos_as_xyz
'x,y,z'
loop_
_atom_site_label
_atom_site_type_symbol
_atom_site_fract_x
_atom_site_fract_y
_atom_site_fract_z
La1 La 0.190 0.810 0.750
La2 La 0.810 0.190 0.250
Ni1 Ni 0.417 0.583 0.750
Ni2 Ni 0.583 0.417 0.250
Sn1 Sn 0.121 0.879 0.250
Sn2 Sn 0.879 0.121 0.750
Pt1 Pt 0.254 0.254 0.000
Pt2 Pt 0.254 0.254 0.500
Pt3 Pt 0.351 0.649 0.250
Pt4 Pt 0.649 0.351 0.750
Pt5 Pt 0.746 0.746 0.000
Pt6 Pt 0.746 0.746 0.500
```

Computed properties:
**Energy of formation from the pure elements**: -3.62 eV per formula unit
**Space-group type**: No. 63

[9]
First-principles (PBE) data for a geometry-optimized LiAl2Ru structure, as listed in Alexandria.

Cell and atoms, written as CIF:
```
data_LiAl2Ru
_chemical_formula_sum 'Li1 Al2 Ru1'
_cell_length_a 2.793
_cell_length_b 2.793
_cell_length_c 8.501
_cell_angle_alpha 90.00
_cell_angle_beta 90.00
_cell_angle_gamma 110.81
_symmetry_space_group_name_H-M 'P 1'
_symmetry_Int_Tables_number 1
loop_
_symmetry_equiv_pos_as_xyz
'x,y,z'
loop_
_atom_site_label
_atom_site_type_symbol
_atom_site_fract_x
_atom_site_fract_y
_atom_site_fract_z
Li1 Li 0.000 0.000 0.000
Al1 Al 0.500 0.500 0.272
Al2 Al 0.500 0.500 0.728
Ru1 Ru 0.000 0.000 0.500
```

Computed properties:
**Energy of formation from the pure elements**: -0.75 eV per formula unit
**Space-group type**: No. 65

[10]
First-principles (PBE) data for a geometry-optimized Ba2ReSb structure, as listed in Alexandria.

Cell and atoms, written as CIF:
```
data_Ba2ReSb
_chemical_formula_sum 'Ba2 Re1 Sb1'
_cell_length_a 6.393
_cell_length_b 6.393
_cell_length_c 6.393
_cell_angle_alpha 134.38
_cell_angle_beta 134.38
_cell_angle_gamma 66.49
_symmetry_space_group_name_H-M 'P 1'
_symmetry_Int_Tables_number 1
loop_
_symmetry_equiv_pos_as_xyz
'x,y,z'
loop_
_atom_site_label
_atom_site_type_symbol
_atom_site_fract_x
_atom_site_fract_y
_atom_site_fract_z
Ba1 Ba 0.000 0.000 0.000
Ba2 Ba 0.750 0.250 0.500
Re1 Re 0.250 0.750 0.500
Sb1 Sb 0.500 0.500 0.000
```

Computed properties:
**Formation energy (no corrections)**: 0.640 eV/atom
**Space-group type**: No. 119

[11]
First-principles (PBE) data for a geometry-optimized Li2U2TiS6 structure, as listed in Alexandria.

Cell and atoms, written as CIF:
```
data_Li2U2TiS6
_chemical_formula_sum 'Li2 U2 Ti1 S6'
_cell_length_a 6.505
_cell_length_b 6.505
_cell_length_c 6.566
_cell_angle_alpha 99.11
_cell_angle_beta 99.11
_cell_angle_gamma 119.48
_symmetry_space_group_name_H-M 'P 1'
_symmetry_Int_Tables_number 1
loop_
_symmetry_equiv_pos_as_xyz
'x,y,z'
loop_
_atom_site_label
_atom_site_type_symbol
_atom_site_fract_x
_atom_site_fract_y
_atom_site_fract_z
Li1 Li 0.162 0.838 0.000
Li2 Li 0.838 0.162 0.000
U1 U 0.336 0.664 0.500
U2 U 0.664 0.336 0.500
Ti1 Ti 0.000 0.000 0.500
S1 S 0.074 0.394 0.741
S2 S 0.229 0.229 0.256
S3 S 0.394 0.074 0.741
S4 S 0.606 0.926 0.259
S5 S 0.771 0.771 0.744
S6 S 0.926 0.606 0.259
```

Computed properties:
**Formation energy (no corrections)**: -1.376 eV/atom
**Space-group type**: No. 12

[12]
First-principles (PBE) data for a geometry-optimized FePH structure, as listed in Alexandria.

Cell and atoms, written as CIF:
```
data_FePH
_chemical_formula_sum 'Fe2 P2 H2'
_cell_length_a 2.746
_cell_length_b 2.746
_cell_length_c 8.827
_cell_angle_alpha 90.00
_cell_angle_beta 90.00
_cell_angle_gamma 90.00
_symmetry_space_group_name_H-M 'P 1'
_symmetry_Int_Tables_number 1
loop_
_symmetry_equiv_pos_as_xyz
'x,y,z'
loop_
_atom_site_label
_atom_site_type_symbol
_atom_site_fract_x
_atom_site_fract_y
_atom_site_fract_z
Fe1 Fe 0.250 0.250 0.109
Fe2 Fe 0.750 0.750 0.891
P1 P 0.250 0.250 0.775
P2 P 0.750 0.750 0.225
H1 H 0.250 0.250 0.613
H2 H 0.750 0.750 0.387
```

Computed properties:
**E_tot**: -5.91 eV per atom
**Space-group type**: No. 129

| no. | DOS at the Fermi energy (states/eV per cell) |
| --- | --- |
| 1 | 18.2 |
| 2 | 4.2 |
| 3 | 3.9 |
| 4 | 2.3 |
| 5 | 7.1 |
| 6 | 11.8 |
| 7 | 2.0 |
| 8 | 5.7 |
| 9 | 2.8 |
| 10 | 4.3 |
| 11 | 8.4 |
| 12 | 2.9 |